# TaCrMo6 PBE relaxed
# energy: -10.72 eV per atom
# formation energy: 0.091 eV/atom
data_TaCrMo6
_chemical_formula_sum 'Ta1 Cr1 Mo6'
_cell_length_a 5.032
_cell_length_b 5.032
_cell_length_c 5.032
_cell_angle_alpha 90.00
_cell_angle_beta 90.00
_cell_angle_gamma 90.00
_symmetry_space_group_name_H-M 'P m -3'
_symmetry_Int_Tables_number 200
_symmetry_space_group_name_Hall '-P 2 2 3'
loop_
_atom_site_label
_atom_site_type_symbol
_atom_site_fract_x
_atom_site_fract_y
_atom_site_fract_z
_atom_site_occupancy
Ta1 Ta 0.000 0.000 0.000 1
Cr1 Cr 0.500 0.500 0.500 1
Mo1 Mo 0.000 0.254 0.500 1

---

# Al2Sn2Bi PBE relaxed
# energy: -3.65 eV per atom
# ΔE to the lowest computed polymorph: 0.0727 eV/atom
# formation energy: 0.227 eV/atom
data_Al2Sn2Bi
_chemical_formula_sum 'Al4 Sn4 Bi2'
_cell_length_a 4.697
_cell_length_b 4.697
_cell_length_c 11.796
_cell_angle_alpha 90.00
_cell_angle_beta 90.00
_cell_angle_gamma 90.00
_symmetry_space_group_name_H-M 'I 4/m m m'
_symmetry_Int_Tables_number 139
_symmetry_space_group_name_Hall '-I 4 2'
loop_
_atom_site_label
_atom_site_type_symbol
_atom_site_fract_x
_atom_site_fract_y
_atom_site_fract_z
_atom_site_occupancy
Al1 Al 0.000 0.000 0.107 1
Sn1 Sn 0.000 0.500 0.250 1
Bi1 Bi 0.000 0.000 0.500 1

---

# Mg2ZrSc5 PBE relaxed
# energy: -5.34 eV per atom
# formation energy: 0.082 eV/atom
data_Mg2ZrSc5
_chemical_formula_sum 'Mg4 Zr2 Sc10'
_cell_length_a 3.123
_cell_length_b 9.957
_cell_length_c 12.219
_cell_angle_alpha 90.00
_cell_angle_beta 90.00
_cell_angle_gamma 90.00
_symmetry_space_group_name_H-M 'I m m m'
_symmetry_Int_Tables_number 71
_symmetry_space_group_name_Hall '-I 2 2'
loop_
_atom_site_label
_atom_site_type_symbol
_atom_site_fract_x
_atom_site_fract_y
_atom_site_fract_z
_atom_site_occupancy
Mg1 Mg 0.000 0.000 0.246 1
Zr1 Zr 0.000 0.500 0.500 1
Sc1 Sc 0.000 0.000 0.500 1
Sc2 Sc 0.000 0.259 0.125 1

---

# SmBeRu PBE relaxed
# energy: -6.05 eV per atom
# ΔE to the lowest computed polymorph: 0.0663 eV/atom
# formation energy: -0.142 eV/atom
data_SmBeRu
_chemical_formula_sum 'Sm2 Be2 Ru2'
_cell_length_a 3.239
_cell_length_b 3.239
_cell_length_c 9.801
_cell_angle_alpha 90.00
_cell_angle_beta 90.00
_cell_angle_gamma 90.00
_symmetry_space_group_name_H-M 'I 4 m m'
_symmetry_Int_Tables_number 107
_symmetry_space_group_name_Hall 'I 4 -2'
loop_
_atom_site_label
_atom_site_type_symbol
_atom_site_fract_x
_atom_site_fract_y
_atom_site_fract_z
_atom_site_occupancy
Sm1 Sm 0.000 0.000 0.000 1
Be1 Be 0.000 0.000 0.282 1
Ru1 Ru 0.000 0.000 0.718 1

---

# CsBaRuO2 PBE relaxed
# energy: -4.40 eV per atom
# formation energy (no corrections): -0.2 kJ per mole of atoms
data_CsBaRuO2
_chemical_formula_sum 'Cs1 Ba1 Ru1 O2'
_cell_length_a 4.572
_cell_length_b 4.572
_cell_length_c 4.956
_cell_angle_alpha 90.00
_cell_angle_beta 90.00
_cell_angle_gamma 90.00
_symmetry_space_group_name_H-M 'P 4/m m m'
_symmetry_Int_Tables_number 123
_symmetry_space_group_name_Hall '-P 4 2'
loop_
_atom_site_label
_atom_site_type_symbol
_atom_site_fract_x
_atom_site_fract_y
_atom_site_fract_z
_atom_site_occupancy
Cs1 Cs 0.000 0.000 0.000 1
Ba1 Ba 0.500 0.500 0.000 1
Ru1 Ru 0.000 0.000 0.500 1
O1 O 0.000 0.500 0.500 1

---

# Pm5Nd2N5 PBE relaxed
# energy: -7.23 eV per atom
# formation energy (no corrections): -94.8 kJ per mole of atoms
data_Pm5Nd2N5
_chemical_formula_sum 'Pm10 Nd4 N10'
_cell_length_a 12.098
_cell_length_b 3.510
_cell_length_c 12.577
_cell_angle_alpha 90.00
_cell_angle_beta 102.52
_cell_angle_gamma 90.00
_symmetry_space_group_name_H-M 'C 1 2/m 1'
_symmetry_Int_Tables_number 12
loop_
_symmetry_equiv_pos_as_xyz
'x,y,z'
'-x,-y,-z'
'-x,y,-z'
'x,-y,z'
'x+1/2,y+1/2,z'
'-x+1/2,-y+1/2,-z'
'-x+1/2,y+1/2,-z'
'x+1/2,-y+1/2,z'
loop_
_atom_site_label
_atom_site_type_symbol
_atom_site_fract_x
_atom_site_fract_y
_atom_site_fract_z
_atom_site_occupancy
Pm1 Pm 0.000 0.000 0.000 1
Pm2 Pm 0.149 0.000 0.560 1
Pm3 Pm 0.223 0.000 0.877 1
Nd1 Nd 0.063 0.500 0.311 1
N1 N 0.000 0.500 0.500 1
N2 N 0.133 0.500 0.954 1
N3 N 0.189 0.000 0.385 1

---

# MnGa6Co PBE relaxed
# energy: -4.35 eV per atom
# formation energy: -0.043 eV/atom
data_MnGa6Co
_chemical_formula_sum 'Mn3 Ga18 Co3'
_cell_length_a 8.3137
_cell_length_b 8.3137
_cell_length_c 6.7277
_cell_angle_alpha 90.00
_cell_angle_beta 90.00
_cell_angle_gamma 120.00
_symmetry_space_group_name_H-M 'R -3 m'
_symmetry_Int_Tables_number 166
_symmetry_space_group_name_Hall '-R 3 2"'
loop_
_atom_site_label
_atom_site_type_symbol
_atom_site_fract_x
_atom_site_fract_y
_atom_site_fract_z
_atom_site_occupancy
Mn1 Mn 0.0000 0.0000 0.0000 1
Ga1 Ga 0.0400 0.5200 0.3087 1
Co1 Co 0.0000 0.0000 0.5000 1

---

# Cd2P PBE relaxed
# energy: -2.28 eV per atom
# ΔE to the lowest computed polymorph: 0.0436 eV/atom
# formation energy: 0.133 eV/atom
data_Cd2P
_chemical_formula_sum 'Cd8 P4'
_cell_length_a 6.555
_cell_length_b 6.555
_cell_length_c 6.555
_cell_angle_alpha 90.00
_cell_angle_beta 90.00
_cell_angle_gamma 90.00
_symmetry_space_group_name_H-M 'F m -3 m'
_symmetry_Int_Tables_number 225
_symmetry_space_group_name_Hall '-F 4 2 3'
loop_
_atom_site_label
_atom_site_type_symbol
_atom_site_fract_x
_atom_site_fract_y
_atom_site_fract_z
_atom_site_occupancy
Cd1 Cd 0.250 0.250 0.250 1
P1 P 0.000 0.000 0.000 1

---

# Dy5Er6Sc PBE relaxed
# energy: -4.70 eV per atom
# formation energy: 0.029 eV/atom
data_Dy5Er6Sc
_chemical_formula_sum 'Dy10 Er12 Sc2'
_cell_length_a 11.050
_cell_length_b 14.898
_cell_length_c 4.945
_cell_angle_alpha 90.00
_cell_angle_beta 116.50
_cell_angle_gamma 90.00
_symmetry_space_group_name_H-M 'C 1 2/m 1'
_symmetry_Int_Tables_number 12
loop_
_symmetry_equiv_pos_as_xyz
'x,y,z'
'-x,-y,-z'
'-x,y,-z'
'x,-y,z'
'x+1/2,y+1/2,z'
'-x+1/2,-y+1/2,-z'
'-x+1/2,y+1/2,-z'
'x+1/2,-y+1/2,z'
loop_
_atom_site_label
_atom_site_type_symbol
_atom_site_fract_x
_atom_site_fract_y
_atom_site_fract_z
_atom_site_occupancy
Dy1 Dy 0.000 0.000 0.000 1
Dy2 Dy 0.000 0.166 0.500 1
Dy3 Dy 0.000 0.335 0.000 1
Er1 Er 0.246 0.500 0.246 1
Er2 Er 0.248 0.334 0.748 1
Sc1 Sc 0.000 0.500 0.500 1

---

Listing density for the structures above in their given order: 10.5 6.4 3.2 8.4 6.5 6.9 6.6 6.0 8.5 g/cm³.
Listing total magnetic moment for the structures above in their given order: 0.00 0.00 0.00 0.00 0.84 4.25 9.90 0.00 0.00 Bohr magnetons per cell.